BaAcGa, optimized geometry, DFT PBE; DFT formation energy = -0.210 eV per atom; SG = P-1; excess energy over the best structure of this formula in the dataset = 89 meV per atom
1.0
3.990 0.000 -0.001
-0.003 5.565 0.068
-1.991 -0.781 10.588
Ba Ga Ac
2 2 2
Cartesian
-1.364 2.127 9.834
2.617 0.085 1.776
0.626 0.136 4.658
0.627 2.076 6.952
2.620 2.808 4.359
2.620 4.969 7.319